No. 1
VASP calculation (PBEsol) on a relaxed SbAuI2N crystal. Values from VASP.

```
&SYSTEM
  ibrav = 0, nat = 5, ntyp = 4
/
ATOMIC_SPECIES
I 126.90 I.upf
Au 196.97 Au.upf
Sb 121.76 Sb.upf
N 14.01 N.upf
CELL_PARAMETERS angstrom
5.2267 0.0000 0.0000
0.0000 5.6782 0.0000
0.0000 0.0000 5.6782
ATOMIC_POSITIONS crystal
I 0.0000 0.5000 0.0000
I 0.0000 0.0000 0.5000
Au 0.0000 0.0000 0.0000
Sb 0.5000 0.0000 0.0000
N 0.5000 0.5000 0.5000
```

Summary:
Energy relative to the elements, uncorrected in kJ/mol of formula units: 647

No. 2
VASP calculation (PBEsol) on a relaxed SbAuIN2 crystal. Values from VASP.

```
&SYSTEM
  ibrav = 0, nat = 5, ntyp = 4
/
ATOMIC_SPECIES
I 126.90 I.upf
Au 196.97 Au.upf
N 14.01 N.upf
Sb 121.76 Sb.upf
CELL_PARAMETERS angstrom
4.1138 0.0000 0.0000
0.0000 4.1138 0.0000
0.0000 0.0000 6.8268
ATOMIC_POSITIONS crystal
I 0.0000 0.0000 0.5000
Au 0.0000 0.0000 0.0000
N 0.0000 0.5000 0.0000
N 0.5000 0.0000 0.0000
Sb 0.5000 0.5000 0.5000
```

Summary:
Energy relative to the elements, uncorrected in kJ/mol of formula units: 839